[1]
The following is a PBE-GGA calculation of Sr2YSb after structural relaxation, from Alexandria via LeMat-Bulk.

a b c (Å): 4.490 4.490 7.002
angles (deg): 90.00 90.00 90.00
Space group P4/mmm (No. 123)
Symmetry-distinct sites (fractional):
Sr1 0.000 0.000 0.229 [2 per cell]
Y1 0.500 0.500 0.500 [1 per cell]
Sb1 0.500 0.500 0.000 [1 per cell]

Output
ΔE_f (raw)   -1.52 eV per formula unit
Total energy   -3.8666 eV/atom
Size of the total moment   0.0 μB/cell

[2]
The following is a PBE-GGA calculation of Pa2Ga3Ge after structural relaxation, from Alexandria via LeMat-Bulk.

a b c (Å): 4.009 4.236 7.299
angles (deg): 90.00 90.00 90.00
Space group Pmm2 (No. 25)
Symmetry-distinct sites (fractional):
Pa1 0.000 0.000 0.000 [1 per cell]
Pa2 0.000 0.500 0.493 [1 per cell]
Ga1 0.500 0.000 0.666 [1 per cell]
Ga2 0.500 0.500 0.160 [1 per cell]
Ga3 0.500 0.500 0.828 [1 per cell]
Ge1 0.500 0.000 0.330 [1 per cell]

Output
Total energy   -5.7656 eV/atom
Size of the total moment   0.0 μB/cell
Calculated formation energy   -0.32 eV/atom

[3]
The following is a PBE-GGA calculation of VOsRu4 after structural relaxation, from Alexandria via LeMat-Bulk.

a b c (Å): 3.801 11.459 7.694
angles (deg): 90.00 90.00 90.00
Space group Imma (No. 74)
Symmetry-distinct sites (fractional):
V1 0.000 0.250 0.118 [4 per cell]
Os1 0.000 0.250 0.626 [4 per cell]
Ru1 0.000 0.082 0.876 [8 per cell]
Ru2 0.000 0.085 0.373 [8 per cell]

Output
Total energy   -9.5670 eV/atom
Size of the total moment   0.0 μB/cell
Calculated formation energy   0.01 eV/atom

[4]
The following is a PBE-GGA calculation of TaTe2 after structural relaxation, from Alexandria via LeMat-Bulk.

a b c (Å): 3.367 3.367 14.128
angles (deg): 90.00 90.00 90.00
Space group I4/mmm (No. 139)
Symmetry-distinct sites (fractional):
Ta1 0.000 0.000 0.000 [2 per cell]
Te1 0.000 0.000 0.378 [4 per cell]

Output
ΔE_f (raw)   -0.45 eV per formula unit
Total energy   -6.1957 eV/atom
Size of the total moment   0.0 μB/cell

[5]
The following is a PBE-GGA calculation of Li2CuPd after structural relaxation, from Alexandria via LeMat-Bulk.

a b c (Å): 2.738 4.481 9.505
angles (deg): 90.00 90.00 90.00
Space group Immm (No. 71)
Symmetry-distinct sites (fractional):
Li1 0.000 0.000 0.247 [4 per cell]
Cu1 0.000 0.000 0.000 [2 per cell]
Pd1 0.000 0.000 0.500 [2 per cell]

Output
Total energy   -3.3262 eV/atom
Size of the total moment   0.0 μB/cell
Calculated formation energy   -0.05 eV/atom

[6]
The following is a PBE-GGA calculation of PrHoScZn after structural relaxation, from Alexandria via LeMat-Bulk.

a b c (Å): 7.480 7.480 7.480
angles (deg): 90.00 90.00 90.00
Space group F-43m (No. 216)
Symmetry-distinct sites (fractional):
Pr1 0.000 0.000 0.000 [4 per cell]
Ho1 0.000 0.000 0.500 [4 per cell]
Sc1 0.250 0.250 0.250 [4 per cell]
Zn1 0.250 0.250 0.750 [4 per cell]

Output
Total energy   -4.2434 eV/atom
Size of the total moment   0.0 μB/cell
Energy above the most stable polymorph in this dataset   58 kJ/mol of formula units
Calculated formation energy   0.00 eV/atom